(1)
Density functional theory data (GGA-PBE) for Dy4Cu3Pd after structural relaxation. Values from VASP.

Values from the calculation:
Calculated volume (Å³/cell): 174
Spin magnetization (μB per formula unit): 0.00
Formation energy from the elements (eV per atom): -0.44

Cell and atoms, written as Quantum ESPRESSO input:
```
&SYSTEM
  ibrav = 0, nat = 8, ntyp = 3
/
ATOMIC_SPECIES
Dy 162.50 Dy.upf
Cu 63.55 Cu.upf
Pd 106.42 Pd.upf
CELL_PARAMETERS angstrom
5.4555 0.0000 0.0000
0.0000 4.4677 0.0000
-0.0131 0.0000 7.1228
ATOMIC_POSITIONS crystal
Dy 0.0000 0.0000 0.0000
Dy 0.2313 0.0000 0.4995
Dy 0.5027 0.5000 0.8629
Dy 0.7333 0.5000 0.3644
Cu 0.0034 0.5000 0.7207
Cu 0.2424 0.5000 0.2155
Cu 0.4901 0.0000 0.1479
Pd 0.7296 0.0000 0.6440
```


(2)
Density functional theory data (GGA-PBE) for PrNdCuSe3 after structural relaxation. Values from VASP.

Values from the calculation:
Calculated volume (Å³/cell): 299
Spin magnetization (μB per formula unit): 0.00
DFT total energy (eV/cell): -64.429

Cell and atoms, written as Quantum ESPRESSO input:
```
&SYSTEM
  ibrav = 0, nat = 12, ntyp = 4
/
ATOMIC_SPECIES
Pr 140.91 Pr.upf
Nd 144.24 Nd.upf
Cu 63.55 Cu.upf
Se 78.96 Se.upf
CELL_PARAMETERS angstrom
2.0104 -6.7134 0.0000
2.0104 6.7134 0.0000
0.0000 0.0000 11.0705
ATOMIC_POSITIONS crystal
Pr 0.0000 0.0000 0.0000
Pr 0.0000 0.0000 0.5000
Nd 0.2370 0.7630 0.7500
Nd 0.7630 0.2370 0.2500
Cu 0.4710 0.5290 0.2500
Cu 0.5290 0.4710 0.7500
Se 0.0876 0.9124 0.2500
Se 0.3499 0.6501 0.0810
Se 0.3499 0.6501 0.4190
Se 0.6501 0.3499 0.5810
Se 0.6501 0.3499 0.9190
Se 0.9124 0.0876 0.7500
```


(3)
Density functional theory data (GGA-PBE) for Dy2MgSnIr4 after structural relaxation. Values from VASP.

Values from the calculation:
Calculated volume (Å³/cell): 145
Spin magnetization (μB per formula unit): 0.01
DFT total energy (eV/cell): -54.605

Cell and atoms, written as Quantum ESPRESSO input:
```
&SYSTEM
  ibrav = 0, nat = 8, ntyp = 4
/
ATOMIC_SPECIES
Dy 162.50 Dy.upf
Mg 24.30 Mg.upf
Sn 118.71 Sn.upf
Ir 192.22 Ir.upf
CELL_PARAMETERS angstrom
4.6846 0.0000 0.0000
0.0000 4.6846 0.0000
0.0000 0.0000 6.6266
ATOMIC_POSITIONS crystal
Dy 0.0000 0.0000 0.0000
Dy 0.5000 0.5000 0.5000
Mg 0.0000 0.0000 0.5000
Sn 0.5000 0.5000 0.0000
Ir 0.0000 0.5000 0.2502
Ir 0.0000 0.5000 0.7498
Ir 0.5000 0.0000 0.2502
Ir 0.5000 0.0000 0.7498
```


(4)
Density functional theory data (GGA-PBE) for NdSb after structural relaxation. Values from VASP.

Values from the calculation:
Calculated volume (Å³/cell): 249
Spin magnetization (μB per formula unit): 0.00
DFT total energy (eV/cell): -41.739

Cell and atoms, written as Quantum ESPRESSO input:
```
&SYSTEM
  ibrav = 0, nat = 8, ntyp = 2
/
ATOMIC_SPECIES
Nd 144.24 Nd.upf
Sb 121.76 Sb.upf
CELL_PARAMETERS angstrom
6.6059 0.0000 0.0000
0.0000 6.1403 0.0000
0.0000 0.0000 6.1351
ATOMIC_POSITIONS crystal
Nd 0.0000 0.0000 0.0000
Nd 0.2500 0.5000 0.3232
Nd 0.5000 0.0000 0.0000
Nd 0.7500 0.5000 0.6768
Sb 0.2500 0.0000 0.4840
Sb 0.2500 0.5000 0.8282
Sb 0.7500 0.0000 0.5160
Sb 0.7500 0.5000 0.1718
```


(5)
Density functional theory data (GGA-PBE) for LiHfNiPb after structural relaxation. Values from VASP.

Values from the calculation:
Calculated volume (Å³/cell): 71
Spin magnetization (μB per formula unit): 0.62
E above lowest polymorph (eV per atom): 0.328

Cell and atoms, written as Quantum ESPRESSO input:
```
&SYSTEM
  ibrav = 0, nat = 4, ntyp = 4
/
ATOMIC_SPECIES
Li 6.94 Li.upf
Hf 178.49 Hf.upf
Ni 58.69 Ni.upf
Pb 207.20 Pb.upf
CELL_PARAMETERS angstrom
0.0000 3.2868 3.2868
3.2868 0.0000 3.2868
3.2868 3.2868 0.0000
ATOMIC_POSITIONS crystal
Li 0.0000 0.0000 0.0000
Hf 0.2500 0.2500 0.2500
Ni 0.7500 0.7500 0.7500
Pb 0.5000 0.5000 0.5000
```


(6)
Density functional theory data (GGA-PBE) for PuCIN2 after structural relaxation. Values from VASP.

Values from the calculation:
Calculated volume (Å³/cell): 171
Spin magnetization (μB per formula unit): 5.00
DFT total energy (eV/cell): -89.400

Cell and atoms, written as Quantum ESPRESSO input:
```
&SYSTEM
  ibrav = 0, nat = 10, ntyp = 4
/
ATOMIC_SPECIES
Pu 244.00 Pu.upf
C 12.01 C.upf
I 126.90 I.upf
N 14.01 N.upf
CELL_PARAMETERS angstrom
5.4228 0.0000 0.0000
0.0000 3.9989 0.0000
-1.3013 0.0000 7.9033
ATOMIC_POSITIONS crystal
Pu 0.1753 0.2500 0.2068
Pu 0.8247 0.7500 0.7932
C 0.3508 0.2500 0.8702
C 0.6492 0.7500 0.1298
I 0.2628 0.7500 0.5560
I 0.7372 0.2500 0.4440
N 0.1267 0.2500 0.8921
N 0.4293 0.7500 0.1486
N 0.5707 0.2500 0.8514
N 0.8733 0.7500 0.1079
```